1.
A relaxed structure of AlFeCoCu. Source: the Alexandria database, functional PBE-GGA.

Computed properties:
Energy of formation from the pure elements, kJ per mole of atoms: -16
Volume, Å³/atom: 12.05
Raw total energy, eV/atom: -6.02

Geometry as POSCAR:
```
AlFeCoCu
1.0
-2.6803 2.6870 -1.5113
-3.8818 -1.1135 -0.6164
-2.9581 1.4972 2.3868
Cu Fe Al Co
1 1 1 1
Cartesian
-2.3801 0.7677 0.0648
0.0000 0.0000 0.0000
-4.7601 1.5353 0.1295
-7.1402 2.3030 0.1943
```

=====

2.
A relaxed structure of Sc2CoAu. Source: the Alexandria database, functional PBE-GGA.

Computed properties:
Energy of formation from the pure elements, kJ per mole of atoms: -32
Volume, Å³/atom: 18.73
Raw total energy, eV/atom: -6.09

Geometry as POSCAR:
```
Sc2CoAu
1.0
3.5915 0.0000 0.0000
0.0000 3.5990 0.0000
0.0000 0.0000 5.7953
Au Co Sc
1 1 2
Cartesian
0.0000 0.0000 2.7164
1.7957 1.7995 4.7228
0.0000 0.0000 5.4259
1.7957 1.7995 1.6232
```

=====

3.
A relaxed structure of TmUS2. Source: the Alexandria database, functional PBE-GGA.

Computed properties:
Volume, Å³/atom: 20.74
Raw total energy, eV/atom: -7.57
Formation energy from raw total energies, kJ/mol of atoms: -151.40
E above lowest polymorph, meV per atom: 77.7

Geometry as POSCAR:
```
TmUS2
1.0
-1.9704 -1.5408 2.7512
1.7369 -1.3771 2.9854
-0.5472 5.1977 5.0316
Tm S U
1 2 1
Cartesian
-0.6963 3.1660 8.8124
-0.1891 0.4904 2.6519
-0.4359 3.7342 4.2918
-0.3969 1.2266 5.4280
```

=====

4.
A relaxed structure of K2OsSe. Source: the Alexandria database, functional PBE-GGA.

Computed properties:
Volume, Å³/atom: 32.25
Raw total energy, eV/atom: -4.01
Formation energy from raw total energies, kJ/mol of atoms: 21.34

Geometry as POSCAR:
```
K2OsSe
1.0
-1.1752 -0.9077 -3.9343
4.3157 -3.2692 -0.5349
-0.8944 -5.9729 1.6453
K Os Se
2 1 1
Cartesian
0.2964 -3.3086 -1.5725
3.4104 -8.6715 0.9820
2.3986 -5.4060 0.5308
1.2724 -6.6269 -1.0985
```